Below is an optimized crystal structure of ZrNi2P, with properties calculated at the PBE level.

Lattice parameters (Å, degrees): 5.173 5.253 8.806 90.00 90.00 90.00
Sites, in units of the cell vectors:
Zr 0.000 0.000 0.000
Zr 0.000 0.500 0.500
Zr 0.500 0.000 0.500
Zr 0.500 0.500 0.000
Ni 0.000 0.250 0.250
Ni 0.000 0.250 0.750
Ni 0.000 0.750 0.250
Ni 0.000 0.750 0.750
Ni 0.500 0.250 0.250
Ni 0.500 0.250 0.750
Ni 0.500 0.750 0.250
Ni 0.500 0.750 0.750
P 0.000 0.000 0.500
P 0.000 0.500 0.000
P 0.500 0.000 0.000
P 0.500 0.500 0.500

Calculated values
- raw total energy (eV/atom) = -6.681
- calculated volume (Å³/f.u.) = 60
- Fermi-level density of states (states/eV/f.u.) = 2.202
- size of the total moment (μB per cell) = 0.00
- calculated formation energy (meV/atom) = -300.3